Entry 1:
Below is crystalline CdPt2Au4 at its relaxed geometry, with properties calculated at the PBE-GGA level.

a = 4.643 Å, b = 4.643 Å, c = 13.443 Å
α = 90.00°, β = 90.00°, γ = 111.08°
Fractional positions:
Cd 0.000 0.000 0.000
Cd 0.500 0.500 0.500
Pt 0.142 0.858 0.571
Pt 0.358 0.642 0.071
Pt 0.642 0.358 0.929
Pt 0.858 0.142 0.429
Au 0.211 0.789 0.373
Au 0.213 0.287 0.250
Au 0.287 0.213 0.750
Au 0.289 0.711 0.873
Au 0.711 0.289 0.127
Au 0.713 0.787 0.250
Au 0.787 0.713 0.750
Au 0.789 0.211 0.627

Formation energy from the elements, kJ per mole of atoms: 9
Volume, Å³/cell: 270
Excess energy over the best structure of this formula in the dataset, meV/atom: 164
Spin magnetization, μB/atom: 0.000

=====

Entry 2:
Below is crystalline Cd2Pt6Au at its relaxed geometry, with properties calculated at the PBE-GGA level.

a = 8.661 Å, b = 8.661 Å, c = 4.010 Å
α = 90.00°, β = 90.00°, γ = 90.00°
Fractional positions:
Cd 0.165 0.165 0.000
Cd 0.335 0.665 0.500
Cd 0.665 0.335 0.500
Cd 0.835 0.835 0.000
Pt 0.007 0.662 0.500
Pt 0.162 0.493 0.000
Pt 0.171 0.829 0.000
Pt 0.329 0.329 0.500
Pt 0.338 0.993 0.500
Pt 0.493 0.162 0.000
Pt 0.507 0.838 0.000
Pt 0.662 0.007 0.500
Pt 0.671 0.671 0.500
Pt 0.829 0.171 0.000
Pt 0.838 0.507 0.000
Pt 0.993 0.338 0.500
Au 0.000 0.000 0.500
Au 0.500 0.500 0.000

Formation energy from the elements, kJ per mole of atoms: -14
Volume, Å³/cell: 301
Spin magnetization, μB/atom: 0.000

=====

Entry 3:
Below is crystalline CdPt3Au at its relaxed geometry, with properties calculated at the PBE-GGA level.

a = 4.924 Å, b = 4.924 Å, c = 4.924 Å
α = 90.00°, β = 90.00°, γ = 90.00°
Fractional positions:
Cd 0.000 0.000 0.000
Pt 0.000 0.000 0.500
Pt 0.000 0.500 0.000
Pt 0.500 0.000 0.000
Au 0.500 0.500 0.500

Formation energy from the elements, kJ per mole of atoms: 136
Volume, Å³/cell: 119
Excess energy over the best structure of this formula in the dataset, meV/atom: 1539
Spin magnetization, μB/atom: 0.000

=====

Entry 4:
Below is crystalline Cd2Pt4Au5 at its relaxed geometry, with properties calculated at the PBE-GGA level.

a = 4.113 Å, b = 5.072 Å, c = 10.384 Å
α = 76.01°, β = 89.94°, γ = 66.30°
Fractional positions:
Cd 0.047 0.406 0.321
Cd 0.953 0.594 0.679
Pt 0.228 0.044 0.591
Pt 0.318 0.863 0.230
Pt 0.682 0.137 0.770
Pt 0.772 0.956 0.409
Au 0.138 0.224 0.954
Au 0.407 0.686 0.862
Au 0.500 0.500 0.500
Au 0.593 0.314 0.138
Au 0.862 0.776 0.046

Formation energy from the elements, kJ per mole of atoms: -10
Volume, Å³/cell: 191
Spin magnetization, μB/atom: 0.000

=====

Entry 5:
Below is crystalline Cd8PtAu6 at its relaxed geometry, with properties calculated at the PBE-GGA level.

a = 7.370 Å, b = 7.370 Å, c = 7.370 Å
α = 66.74°, β = 66.74°, γ = 66.74°
Fractional positions:
Cd 0.059 0.382 0.710
Cd 0.163 0.163 0.163
Cd 0.290 0.941 0.618
Cd 0.382 0.710 0.059
Cd 0.618 0.290 0.941
Cd 0.710 0.059 0.382
Cd 0.837 0.837 0.837
Cd 0.941 0.618 0.290
Pt 0.500 0.500 0.500
Au 0.114 0.776 0.449
Au 0.224 0.551 0.886
Au 0.449 0.114 0.776
Au 0.551 0.886 0.224
Au 0.776 0.449 0.114
Au 0.886 0.224 0.551

Formation energy from the elements, kJ per mole of atoms: -13
Volume, Å³/cell: 324
Spin magnetization, μB/atom: 0.000

=====

Entry 6:
Below is crystalline Cd8PtAu2 at its relaxed geometry, with properties calculated at the PBE-GGA level.

a = 7.923 Å, b = 7.923 Å, c = 7.923 Å
α = 146.72°, β = 122.85°, γ = 67.76°
Fractional positions:
Cd 0.121 0.349 0.773
Cd 0.153 0.153 0.000
Cd 0.292 0.000 0.292
Cd 0.424 0.651 0.773
Cd 0.576 0.349 0.227
Cd 0.708 0.000 0.708
Cd 0.847 0.847 0.000
Cd 0.879 0.651 0.227
Pt 0.000 0.500 0.500
Au 0.313 0.813 0.500
Au 0.687 0.187 0.500

Formation energy from the elements, kJ per mole of atoms: -16
Volume, Å³/cell: 226
Excess energy over the best structure of this formula in the dataset, meV/atom: 0
Spin magnetization, μB/atom: 0.000

=====

Entry 7:
Below is crystalline Cd5PtAu at its relaxed geometry, with properties calculated at the PBE-GGA level.

a = 7.000 Å, b = 7.000 Å, c = 9.966 Å
α = 107.19°, β = 107.19°, γ = 71.13°
Fractional positions:
Cd 0.105 0.895 0.750
Cd 0.246 0.249 0.618
Cd 0.249 0.246 0.118
Cd 0.319 0.671 0.023
Cd 0.329 0.681 0.477
Cd 0.671 0.319 0.523
Cd 0.681 0.329 0.977
Cd 0.751 0.754 0.882
Cd 0.754 0.751 0.382
Cd 0.895 0.105 0.250
Pt 0.000 0.000 0.000
Pt 0.000 0.000 0.500
Au 0.467 0.533 0.750
Au 0.533 0.467 0.250

Formation energy from the elements, kJ per mole of atoms: -2
Volume, Å³/cell: 430
Spin magnetization, μB/atom: 0.000

=====

Entry 8:
Below is crystalline Cd4PtAu7 at its relaxed geometry, with properties calculated at the PBE-GGA level.

a = 6.030 Å, b = 6.030 Å, c = 10.151 Å
α = 116.72°, β = 116.72°, γ = 51.04°
Fractional positions:
Cd 0.099 0.099 0.276
Cd 0.257 0.257 0.834
Cd 0.743 0.743 0.166
Cd 0.901 0.901 0.724
Pt 0.500 0.500 0.500
Au 0.000 0.000 0.500
Au 0.134 0.134 0.020
Au 0.294 0.294 0.584
Au 0.421 0.421 0.193
Au 0.579 0.579 0.807
Au 0.706 0.706 0.416
Au 0.866 0.866 0.980

Formation energy from the elements, kJ per mole of atoms: -2
Volume, Å³/cell: 249
Excess energy over the best structure of this formula in the dataset, meV/atom: 110
Spin magnetization, μB/atom: 0.000

=====

Entry 9:
Below is crystalline Cd4Pt15Au at its relaxed geometry, with properties calculated at the PBE-GGA level.

a = 4.024 Å, b = 4.024 Å, c = 20.297 Å
α = 90.00°, β = 90.00°, γ = 90.00°
Fractional positions:
Cd 0.000 0.000 0.100
Cd 0.000 0.000 0.301
Cd 0.000 0.000 0.699
Cd 0.000 0.000 0.900
Pt 0.000 0.500 0.000
Pt 0.000 0.500 0.200
Pt 0.000 0.500 0.401
Pt 0.000 0.500 0.599
Pt 0.000 0.500 0.800
Pt 0.500 0.000 0.000
Pt 0.500 0.000 0.200
Pt 0.500 0.000 0.401
Pt 0.500 0.000 0.599
Pt 0.500 0.000 0.800
Pt 0.500 0.500 0.100
Pt 0.500 0.500 0.300
Pt 0.500 0.500 0.500
Pt 0.500 0.500 0.700
Pt 0.500 0.500 0.900
Au 0.000 0.000 0.500

Formation energy from the elements, kJ per mole of atoms: -13
Volume, Å³/cell: 329
Spin magnetization, μB/atom: 0.000

=====

Entry 10:
Below is crystalline CdPt2Au at its relaxed geometry, with properties calculated at the PBE-GGA level.

a = 9.503 Å, b = 9.503 Å, c = 9.503 Å
α = 17.57°, β = 17.57°, γ = 17.57°
Fractional positions:
Cd 0.000 0.000 0.000
Pt 0.251 0.251 0.251
Pt 0.749 0.749 0.749
Au 0.500 0.500 0.500

Formation energy from the elements, kJ per mole of atoms: -10
Volume, Å³/cell: 68
Spin magnetization, μB/atom: 0.000

=====

Entry 11:
Below is crystalline CdPt2Au at its relaxed geometry, with properties calculated at the PBE-GGA level.

a = 4.606 Å, b = 4.606 Å, c = 4.606 Å
α = 60.00°, β = 60.00°, γ = 60.00°
Fractional positions:
Cd 0.000 0.000 0.000
Pt 0.250 0.250 0.250
Pt 0.500 0.500 0.500
Au 0.750 0.750 0.750

Formation energy from the elements, kJ per mole of atoms: -8
Volume, Å³/cell: 69
Spin magnetization, μB/atom: 0.000

=====

Entry 12:
Below is crystalline CdPt2Au at its relaxed geometry, with properties calculated at the PBE-GGA level.

a = 9.541 Å, b = 9.541 Å, c = 9.541 Å
α = 17.49°, β = 17.49°, γ = 17.49°
Fractional positions:
Cd 0.000 0.000 0.000
Pt 0.251 0.251 0.251
Pt 0.504 0.504 0.504
Au 0.754 0.754 0.754

Formation energy from the elements, kJ per mole of atoms: -6
Volume, Å³/cell: 68
Spin magnetization, μB/atom: 0.000

=====

Entry 13:
Below is crystalline Cd4Pt2Au at its relaxed geometry, with properties calculated at the PBE-GGA level.

a = 7.891 Å, b = 7.891 Å, c = 7.891 Å
α = 34.39°, β = 34.39°, γ = 34.39°
Fractional positions:
Cd 0.114 0.114 0.114
Cd 0.369 0.369 0.369
Cd 0.631 0.631 0.631
Cd 0.886 0.886 0.886
Pt 0.245 0.245 0.245
Pt 0.755 0.755 0.755
Au 0.500 0.500 0.500

Formation energy from the elements, kJ per mole of atoms: -23
Volume, Å³/cell: 140
Spin magnetization, μB/atom: 0.000

=====

Entry 14:
Below is crystalline Cd8Pt2Au3 at its relaxed geometry, with properties calculated at the PBE-GGA level.

a = 7.977 Å, b = 7.977 Å, c = 4.712 Å
α = 90.00°, β = 90.00°, γ = 109.01°
Fractional positions:
Cd 0.132 0.868 0.000
Cd 0.134 0.395 0.500
Cd 0.365 0.635 0.000
Cd 0.395 0.134 0.500
Cd 0.605 0.866 0.500
Cd 0.635 0.365 0.000
Cd 0.866 0.605 0.500
Cd 0.868 0.132 0.000
Pt 0.240 0.760 0.500
Pt 0.760 0.240 0.500
Au 0.000 0.000 0.500
Au 0.256 0.256 0.000
Au 0.744 0.744 0.000

Formation energy from the elements, kJ per mole of atoms: -21
Volume, Å³/cell: 283
Spin magnetization, μB/atom: 0.000

=====

Entry 15:
Below is crystalline Cd2Pt2Au3 at its relaxed geometry, with properties calculated at the PBE-GGA level.

a = 2.924 Å, b = 6.894 Å, c = 7.196 Å
α = 114.66°, β = 90.05°, γ = 102.18°
Fractional positions:
Cd 0.123 0.246 0.300
Cd 0.877 0.754 0.700
Pt 0.419 0.842 0.075
Pt 0.581 0.158 0.925
Au 0.206 0.411 0.761
Au 0.500 0.000 0.500
Au 0.794 0.589 0.239

Formation energy from the elements, kJ per mole of atoms: -11
Volume, Å³/cell: 128
Excess energy over the best structure of this formula in the dataset, meV/atom: 0
Spin magnetization, μB/atom: 0.000

=====

Entry 16:
Below is crystalline Cd2Pt2Au5 at its relaxed geometry, with properties calculated at the PBE-GGA level.

a = 9.753 Å, b = 9.753 Å, c = 9.753 Å
α = 57.77°, β = 152.05°, γ = 130.54°
Fractional positions:
Cd 0.000 0.000 0.000
Cd 0.000 0.500 0.500
Cd 0.334 0.085 0.749
Cd 0.337 0.585 0.251
Pt 0.667 0.083 0.415
Pt 0.667 0.251 0.585
Pt 0.667 0.583 0.916
Pt 0.667 0.751 0.084
Au 0.001 0.166 0.165
Au 0.001 0.336 0.335
Au 0.001 0.666 0.665
Au 0.001 0.836 0.835
Au 0.333 0.249 0.915
Au 0.333 0.918 0.584
Au 0.334 0.418 0.085
Au 0.334 0.749 0.416
Au 0.668 0.919 0.249
Au 0.670 0.419 0.751

Formation energy from the elements, kJ per mole of atoms: -5
Volume, Å³/cell: 328
Spin magnetization, μB/atom: 0.000

=====

Entry 17:
Below is crystalline CdPt2Au2 at its relaxed geometry, with properties calculated at the PBE-GGA level.

a = 7.083 Å, b = 7.083 Å, c = 3.725 Å
α = 90.00°, β = 90.00°, γ = 90.00°
Fractional positions:
Cd 0.000 0.000 0.000
Cd 0.500 0.500 0.000
Pt 0.135 0.365 0.000
Pt 0.365 0.865 0.000
Pt 0.635 0.135 0.000
Pt 0.865 0.635 0.000
Au 0.164 0.664 0.500
Au 0.336 0.164 0.500
Au 0.664 0.836 0.500
Au 0.836 0.336 0.500

Formation energy from the elements, kJ per mole of atoms: 0
Volume, Å³/cell: 187
Excess energy over the best structure of this formula in the dataset, meV/atom: 0
Spin magnetization, μB/atom: 0.000

=====

Entry 18:
Below is crystalline Cd6PtAu12 at its relaxed geometry, with properties calculated at the PBE-GGA level.

a = 7.161 Å, b = 7.161 Å, c = 7.161 Å
α = 91.42°, β = 91.42°, γ = 91.42°
Fractional positions:
Cd 0.220 0.766 0.386
Cd 0.234 0.614 0.780
Cd 0.386 0.220 0.766
Cd 0.614 0.780 0.234
Cd 0.766 0.386 0.220
Cd 0.780 0.234 0.614
Pt 0.500 0.500 0.500
Au 0.033 0.294 0.945
Au 0.055 0.967 0.706
Au 0.130 0.351 0.453
Au 0.294 0.945 0.033
Au 0.351 0.453 0.130
Au 0.453 0.130 0.351
Au 0.547 0.870 0.649
Au 0.649 0.547 0.870
Au 0.706 0.055 0.967
Au 0.870 0.649 0.547
Au 0.945 0.033 0.294
Au 0.967 0.706 0.055

Formation energy from the elements, kJ per mole of atoms: -12
Volume, Å³/cell: 367
Spin magnetization, μB/atom: 0.000

=====

Entry 19:
Below is crystalline CdPtAu at its relaxed geometry, with properties calculated at the PBE-GGA level.

a = 7.721 Å, b = 7.721 Å, c = 4.744 Å
α = 90.00°, β = 90.00°, γ = 157.74°
Fractional positions:
Cd 0.102 0.898 0.750
Cd 0.898 0.102 0.250
Pt 0.441 0.559 0.750
Pt 0.559 0.441 0.250
Au 0.222 0.778 0.250
Au 0.778 0.222 0.750

Formation energy from the elements, kJ per mole of atoms: -18
Volume, Å³/cell: 107
Excess energy over the best structure of this formula in the dataset, meV/atom: 0
Spin magnetization, μB/atom: 0.000

=====

Entry 20:
Below is crystalline Cd2PtAu3 at its relaxed geometry, with properties calculated at the PBE-GGA level.

a = 7.764 Å, b = 7.764 Å, c = 3.078 Å
α = 90.00°, β = 90.00°, γ = 143.35°
Fractional positions:
Cd 0.168 0.832 0.000
Cd 0.832 0.168 0.000
Pt 0.500 0.500 0.000
Au 0.000 0.000 0.500
Au 0.339 0.661 0.500
Au 0.661 0.339 0.500

Formation energy from the elements, kJ per mole of atoms: -9
Volume, Å³/cell: 111
Excess energy over the best structure of this formula in the dataset, meV/atom: 52
Spin magnetization, μB/atom: 0.000

=====

Number 1: calculated total energy -0.2676 Ry per atom. Number 2: calculated total energy -0.3485 Ry per atom. Number 3: calculated total energy -0.2247 Ry per atom. Number 4: calculated total energy -0.2910 Ry per atom. Number 5: calculated total energy -0.1718 Ry per atom. Number 6: calculated total energy -0.1453 Ry per atom. Number 7: calculated total energy -0.1472 Ry per atom. Number 8: calculated total energy -0.2014 Ry per atom. Number 9: calculated total energy -0.3686 Ry per atom. Number 10: calculated total energy -0.3070 Ry per atom. Number 11: calculated total energy -0.3052 Ry per atom. Number 12: calculated total energy -0.3034 Ry per atom. Number 13: calculated total energy -0.2176 Ry per atom. Number 14: calculated total energy -0.1811 Ry per atom. Number 15: calculated total energy -0.2576 Ry per atom. Number 16: calculated total energy -0.2516 Ry per atom. Number 17: calculated total energy -0.2877 Ry per atom. Number 18: calculated total energy -0.2056 Ry per atom. Number 19: calculated total energy -0.2643 Ry per atom. Number 20: calculated total energy -0.2238 Ry per atom.